This record from Alexandria describes an optimized crystal structure of Pa3Ga9Rh2. The functional is GGA-PBE.

a b c (Å): 4.3190 9.8987 12.0455
angles (deg): 90.00 90.00 90.00
With the nearest neighbours (Å) after each atom.
Space group Immm (No. 71)
Inequivalent atoms, fractional coordinates:
Pa (0.0000, 0.0000, 0.0000)  12 Ga 3.13-3.19
Pa (0.0000, 0.0000, 0.3254)  2 Rh 2.95, 10 Ga 3.01-3.16
Ga (0.0000, 0.2746, 0.1287)  4 Ga 2.64-2.72, 2 Rh 2.66
Ga (0.0000, 0.3732, 0.3351)  4 Ga 2.51-2.67, 1 Rh 2.57
Ga (0.0000, 0.5000, 0.0000)  4 Ga 2.72, 4 Rh 2.99, 4 Pa 3.01
Rh (0.0000, 0.2083, 0.5000)  6 Ga 2.57-2.66

Energy: -5.497 eV/atom
Total magnetization: 1.0 μB/cell
ΔE_f: -466 meV per atom